The following is a DFT calculation (PBE-GGA) of a geometry-optimized PaZn11Cd structure.

Output
space-group type	C2/m, No. 12
energy of formation from the pure elements	-35	meV/atom

Cell lengths 6.8542, 6.8542, 6.9258 Å; angles 98.55, 98.55, 134.28 degrees
Last column: nearest neighbours and their distance in Å.
Fractional positions:
1 Pa 0.0000 0.0000 0.0000  18 Zn 3.20-3.47, 2 Cd 3.46
2 Zn 0.0000 0.5000 0.0000  10 Zn 2.57-2.79
3 Zn 0.0116 0.3738 0.3492  6 Zn 2.61-2.82, 1 Cd 2.86
4 Zn 0.2979 0.5144 0.7920  7 Zn 2.57-2.82, 1 Cd 2.70
5 Zn 0.3738 0.0116 0.3492  6 Zn 2.61-2.82, 1 Cd 2.86
6 Zn 0.4856 0.7021 0.2080  7 Zn 2.57-2.82, 1 Cd 2.70
7 Zn 0.5000 0.0000 0.0000  10 Zn 2.57-2.79
8 Zn 0.5000 0.5000 0.5000  8 Zn 2.64-2.77, 2 Cd 2.66
9 Zn 0.5144 0.2979 0.7920  7 Zn 2.57-2.82, 1 Cd 2.70
10 Zn 0.6262 0.9884 0.6508  6 Zn 2.61-2.82, 1 Cd 2.86
11 Zn 0.7021 0.4856 0.2080  7 Zn 2.57-2.82, 1 Cd 2.70
12 Zn 0.9884 0.6262 0.6508  6 Zn 2.61-2.82, 1 Cd 2.86
13 Cd 0.0000 0.0000 0.5000  10 Zn 2.66-2.86

=====

The following is a DFT calculation (PBE-GGA) of a geometry-optimized Hg7P4Br6 structure.

Output
space-group type	P2_1/c, No. 14
formation energy (no corrections)	-4.48	eV per formula unit

Cell lengths 6.1634, 20.2960, 7.7399 Å; angles 90.00, 104.30, 90.00 degrees
Last column: nearest neighbours and their distance in Å.
Fractional positions:
1 Hg 0.0000 0.0000 0.0000  2 P 2.48
2 Hg 0.0000 0.5000 0.5000  2 P 2.48
3 Hg 0.0946 0.2314 0.1967  2 P 2.47-2.49
4 Hg 0.0946 0.2686 0.6967  2 P 2.47-2.49
5 Hg 0.2189 0.5911 0.9898  1 P 2.48, 1 Br 2.63
6 Hg 0.2189 0.9089 0.4898  1 P 2.48, 1 Br 2.63
7 Hg 0.4940 0.6360 0.5764  2 P 2.49-2.51
8 Hg 0.4940 0.8640 0.0764  2 P 2.49-2.51
9 Hg 0.5060 0.1360 0.9236  2 P 2.49-2.51
10 Hg 0.5060 0.3640 0.4236  2 P 2.49-2.51
11 Hg 0.7811 0.0911 0.5102  1 P 2.48, 1 Br 2.63
12 Hg 0.7811 0.4089 0.0102  1 P 2.48, 1 Br 2.63
13 Hg 0.9054 0.7314 0.3033  2 P 2.47-2.49
14 Hg 0.9054 0.7686 0.8033  2 P 2.47-2.49
15 P 0.1240 0.1777 0.9169  1 P 2.21, 1 Hg 2.47
16 P 0.1240 0.3223 0.4169  1 P 2.21, 1 Hg 2.47
17 P 0.1428 0.6030 0.6618  1 P 2.21
18 P 0.1428 0.8970 0.1618  1 P 2.21
19 P 0.8572 0.1030 0.8382  1 P 2.21
20 P 0.8572 0.3970 0.3382  1 P 2.21
21 P 0.8760 0.6777 0.5831  1 P 2.21, 1 Hg 2.47
22 P 0.8760 0.8223 0.0831  1 P 2.21, 1 Hg 2.47
23 Br 0.1983 0.1150 0.4360  2 Hg 2.81-2.97
24 Br 0.1983 0.3850 0.9360  2 Hg 2.81-2.97
25 Br 0.3587 0.7119 0.2059  4 Hg 2.97-3.29
26 Br 0.3587 0.7881 0.7059  4 Hg 2.97-3.29
27 Br 0.3958 0.5214 0.2769  1 Hg 2.63
28 Br 0.3958 0.9786 0.7769  1 Hg 2.63
29 Br 0.6042 0.0214 0.2231  1 Hg 2.63
30 Br 0.6042 0.4786 0.7231  1 Hg 2.63
31 Br 0.6413 0.2119 0.2941  4 Hg 2.97-3.29
32 Br 0.6413 0.2881 0.7941  4 Hg 2.97-3.29
33 Br 0.8017 0.6150 0.0640  2 Hg 2.81-2.97
34 Br 0.8017 0.8850 0.5640  2 Hg 2.81-2.97